Entry 1:
# GGA-PBEsol RhAu2Se, relaxed
data_RhAu2Se
_cell_length_a 5.241
_cell_length_b 5.241
_cell_length_c 5.241
_cell_angle_alpha 137.05
_cell_angle_beta 137.05
_cell_angle_gamma 62.36
_space_group_name_H-M_alt 'P 1'
_space_group_IT_number 1
_space_group_name_Hall 'P 1'
loop_
_atom_site_label
_atom_site_type_symbol
_atom_site_fract_x
_atom_site_fract_y
_atom_site_fract_z
Rh1 Rh 0.000 0.000 0.000
Au1 Au 0.250 0.750 0.500
Au2 Au 0.750 0.250 0.500
Se1 Se 0.500 0.500 0.000
# - Energy relative to the elements, uncorrected: 0.272 eV/atom
# - E: -18.7 eV per formula unit
# - ρ: 14.5 g/cm³
# - Magnetization: 0.000 μB/f.u.


Entry 2:
# GGA-PBEsol Rh2AuSe, relaxed
data_Rh2AuSe
_cell_length_a 4.429
_cell_length_b 4.429
_cell_length_c 4.429
_cell_angle_alpha 60.00
_cell_angle_beta 60.00
_cell_angle_gamma 60.00
_space_group_name_H-M_alt 'P 1'
_space_group_IT_number 1
_space_group_name_Hall 'P 1'
loop_
_atom_site_label
_atom_site_type_symbol
_atom_site_fract_x
_atom_site_fract_y
_atom_site_fract_z
Rh1 Rh 0.000 0.000 0.000
Rh2 Rh 0.250 0.250 0.250
Au1 Au 0.750 0.750 0.750
Se1 Se 0.500 0.500 0.500
# - Energy relative to the elements, uncorrected: 0.341 eV/atom
# - E: -22.7 eV per formula unit
# - ρ: 13.0 g/cm³
# - Magnetization: 0.001 μB/f.u.


Entry 3:
# GGA-PBEsol Rh2AuSe, relaxed
data_Rh2AuSe
_cell_length_a 5.425
_cell_length_b 5.425
_cell_length_c 5.425
_cell_angle_alpha 148.53
_cell_angle_beta 131.92
_cell_angle_gamma 58.60
_space_group_name_H-M_alt 'P 1'
_space_group_IT_number 1
_space_group_name_Hall 'P 1'
loop_
_atom_site_label
_atom_site_type_symbol
_atom_site_fract_x
_atom_site_fract_y
_atom_site_fract_z
Rh1 Rh 0.000 0.000 0.000
Rh2 Rh 0.738 0.238 0.500
Au1 Au 0.462 0.462 0.000
Se1 Se 0.204 0.704 0.500
# - Energy relative to the elements, uncorrected: 0.151 eV/atom
# - E: -23.4 eV per formula unit
# - ρ: 13.0 g/cm³
# - Magnetization: 0.000 μB/f.u.